# YMgMo (PBE, relaxed)
data_YMgMo
_space_group_name_H-M_alt 'F m m 2'
_space_group_IT_number 42
_space_group_name_Hall 'F 2 -2'
_cell_length_a 3.8159
_cell_length_b 4.7131
_cell_length_c 14.5500
_cell_angle_alpha 90.00
_cell_angle_beta 90.00
_cell_angle_gamma 90.00
loop_
_atom_site_label
_atom_site_type_symbol
_atom_site_fract_x
_atom_site_fract_y
_atom_site_fract_z
Y1 Y 0.0000 0.0000 0.0000
Mg1 Mg 0.0000 0.0000 0.3025
Mo1 Mo 0.0000 0.0000 0.6546
# * formation energy from the elements: 1.19 eV per formula unit
# * total energy: -5.90 eV/atom
# * distance to the lowest polymorph of the same formula: 16.7 meV per atom

# Y2MgMo2 (PBE, relaxed)
data_Y2MgMo2
_space_group_name_H-M_alt 'P 4/m b m'
_space_group_IT_number 127
_space_group_name_Hall '-P 4 2ab'
_cell_length_a 7.4183
_cell_length_b 7.4183
_cell_length_c 4.3099
_cell_angle_alpha 90.00
_cell_angle_beta 90.00
_cell_angle_gamma 90.00
loop_
_atom_site_label
_atom_site_type_symbol
_atom_site_fract_x
_atom_site_fract_y
_atom_site_fract_z
Y1 Y 0.1789 0.3211 0.0000
Mg1 Mg 0.0000 0.0000 0.5000
Mo1 Mo 0.1097 0.6097 0.5000
# * formation energy from the elements: 1.36 eV per formula unit
# * total energy: -6.96 eV/atom
# * distance to the lowest polymorph of the same formula: 0.0 meV per atom

# YMgMo4 (PBE, relaxed)
data_YMgMo4
_space_group_name_H-M_alt 'F -4 3 m'
_space_group_IT_number 216
_space_group_name_Hall 'F -4 2 3'
_cell_length_a 7.6892
_cell_length_b 7.6892
_cell_length_c 7.6892
_cell_angle_alpha 90.00
_cell_angle_beta 90.00
_cell_angle_gamma 90.00
loop_
_atom_site_label
_atom_site_type_symbol
_atom_site_fract_x
_atom_site_fract_y
_atom_site_fract_z
Y1 Y 0.0000 0.0000 0.0000
Mg1 Mg 0.2500 0.2500 0.7500
Mo1 Mo 0.1246 0.1246 0.3754
# * formation energy from the elements: 1.37 eV per formula unit
# * total energy: -8.34 eV/atom

# Y2MgMo (PBE, relaxed)
data_Y2MgMo
_space_group_name_H-M_alt 'P 4 m m'
_space_group_IT_number 99
_space_group_name_Hall 'P 4 -2'
_cell_length_a 3.5990
_cell_length_b 3.5990
_cell_length_c 7.6819
_cell_angle_alpha 90.00
_cell_angle_beta 90.00
_cell_angle_gamma 90.00
loop_
_atom_site_label
_atom_site_type_symbol
_atom_site_fract_x
_atom_site_fract_y
_atom_site_fract_z
Y1 Y 0.0000 0.0000 0.0000
Y2 Y 0.5000 0.5000 0.3601
Mg1 Mg 0.0000 0.0000 0.6053
Mo1 Mo 0.5000 0.5000 0.7683
# * formation energy from the elements: 1.36 eV per formula unit
# * total energy: -6.00 eV/atom

# Y2MgMo (PBE, relaxed)
data_Y2MgMo
_space_group_name_H-M_alt 'R -3 m'
_space_group_IT_number 166
_space_group_name_Hall '-R 3 2"'
_cell_length_a 3.4919
_cell_length_b 3.4919
_cell_length_c 29.4202
_cell_angle_alpha 90.00
_cell_angle_beta 90.00
_cell_angle_gamma 120.00
loop_
_atom_site_label
_atom_site_type_symbol
_atom_site_fract_x
_atom_site_fract_y
_atom_site_fract_z
Y1 Y 0.0000 0.0000 0.2379
Mg1 Mg 0.0000 0.0000 0.0000
Mo1 Mo 0.0000 0.0000 0.5000
# * formation energy from the elements: 1.47 eV per formula unit
# * total energy: -5.97 eV/atom

# YMgMo (PBE, relaxed)
data_YMgMo
_space_group_name_H-M_alt 'I 4 m m'
_space_group_IT_number 107
_space_group_name_Hall 'I 4 -2'
_cell_length_a 2.9884
_cell_length_b 2.9884
_cell_length_c 14.4898
_cell_angle_alpha 90.00
_cell_angle_beta 90.00
_cell_angle_gamma 90.00
loop_
_atom_site_label
_atom_site_type_symbol
_atom_site_fract_x
_atom_site_fract_y
_atom_site_fract_z
Y1 Y 0.0000 0.0000 0.0000
Mg1 Mg 0.0000 0.0000 0.3064
Mo1 Mo 0.0000 0.0000 0.6599
# * formation energy from the elements: 1.17 eV per formula unit
# * total energy: -5.91 eV/atom
# * distance to the lowest polymorph of the same formula: 10.1 meV per atom

# YMgMo (PBE, relaxed)
data_YMgMo
_space_group_name_H-M_alt 'F -4 3 m'
_space_group_IT_number 216
_space_group_name_Hall 'F -4 2 3'
_cell_length_a 6.8579
_cell_length_b 6.8579
_cell_length_c 6.8579
_cell_angle_alpha 90.00
_cell_angle_beta 90.00
_cell_angle_gamma 90.00
loop_
_atom_site_label
_atom_site_type_symbol
_atom_site_fract_x
_atom_site_fract_y
_atom_site_fract_z
Y1 Y 0.0000 0.0000 0.0000
Mg1 Mg 0.0000 0.0000 0.5000
Mo1 Mo 0.2500 0.2500 0.7500
# * formation energy from the elements: 2.77 eV per formula unit
# * total energy: -5.37 eV/atom
# * distance to the lowest polymorph of the same formula: 545.2 meV per atom

# Y2MgMo (PBE, relaxed)
data_Y2MgMo
_space_group_name_H-M_alt 'P 4/m m m'
_space_group_IT_number 123
_space_group_name_Hall '-P 4 2'
_cell_length_a 3.5511
_cell_length_b 3.5511
_cell_length_c 7.9601
_cell_angle_alpha 90.00
_cell_angle_beta 90.00
_cell_angle_gamma 90.00
loop_
_atom_site_label
_atom_site_type_symbol
_atom_site_fract_x
_atom_site_fract_y
_atom_site_fract_z
Y1 Y 0.0000 0.0000 0.2121
Mg1 Mg 0.5000 0.5000 0.5000
Mo1 Mo 0.5000 0.5000 0.0000
# * formation energy from the elements: 0.72 eV per formula unit
# * total energy: -6.16 eV/atom

# Y2MgMo2 (PBE, relaxed)
data_Y2MgMo2
_space_group_name_H-M_alt 'I 4/m m m'
_space_group_IT_number 139
_space_group_name_Hall '-I 4 2'
_cell_length_a 3.6164
_cell_length_b 3.6164
_cell_length_c 19.8002
_cell_angle_alpha 90.00
_cell_angle_beta 90.00
_cell_angle_gamma 90.00
loop_
_atom_site_label
_atom_site_type_symbol
_atom_site_fract_x
_atom_site_fract_y
_atom_site_fract_z
Y1 Y 0.0000 0.0000 0.1211
Mg1 Mg 0.0000 0.0000 0.5000
Mo1 Mo 0.0000 0.5000 0.2500
# * formation energy from the elements: 1.88 eV per formula unit
# * total energy: -6.86 eV/atom
# * distance to the lowest polymorph of the same formula: 102.6 meV per atom

# YMgMo3 (PBE, relaxed)
data_YMgMo3
_space_group_name_H-M_alt 'P m -3 m'
_space_group_IT_number 221
_space_group_name_Hall '-P 4 2 3'
_cell_length_a 4.8651
_cell_length_b 4.8651
_cell_length_c 4.8651
_cell_angle_alpha 90.00
_cell_angle_beta 90.00
_cell_angle_gamma 90.00
loop_
_atom_site_label
_atom_site_type_symbol
_atom_site_fract_x
_atom_site_fract_y
_atom_site_fract_z
Y1 Y 0.0000 0.0000 0.0000
Mg1 Mg 0.5000 0.5000 0.5000
Mo1 Mo 0.0000 0.0000 0.5000
# * formation energy from the elements: 11.19 eV per formula unit
# * total energy: -5.87 eV/atom
# * distance to the lowest polymorph of the same formula: 541.5 meV per atom

# Y4MgMo (PBE, relaxed)
data_Y4MgMo
_space_group_name_H-M_alt 'F -4 3 m'
_space_group_IT_number 216
_space_group_name_Hall 'F -4 2 3'
_cell_length_a 8.7105
_cell_length_b 8.7105
_cell_length_c 8.7105
_cell_angle_alpha 90.00
_cell_angle_beta 90.00
_cell_angle_gamma 90.00
loop_
_atom_site_label
_atom_site_type_symbol
_atom_site_fract_x
_atom_site_fract_y
_atom_site_fract_z
Y1 Y 0.1236 0.1236 0.3764
Mg1 Mg 0.0000 0.0000 0.0000
Mo1 Mo 0.2500 0.2500 0.7500
# * formation energy from the elements: 4.71 eV per formula unit
# * total energy: -5.60 eV/atom

# YMgMo3 (PBE, relaxed)
data_YMgMo3
_space_group_name_H-M_alt 'P m -3 m'
_space_group_IT_number 221
_space_group_name_Hall '-P 4 2 3'
_cell_length_a 4.7297
_cell_length_b 4.7297
_cell_length_c 4.7297
_cell_angle_alpha 90.00
_cell_angle_beta 90.00
_cell_angle_gamma 90.00
loop_
_atom_site_label
_atom_site_type_symbol
_atom_site_fract_x
_atom_site_fract_y
_atom_site_fract_z
Y1 Y 0.0000 0.0000 0.0000
Mg1 Mg 0.5000 0.5000 0.5000
Mo1 Mo 0.0000 0.5000 0.5000
# * formation energy from the elements: 8.48 eV per formula unit
# * total energy: -6.41 eV/atom
# * distance to the lowest polymorph of the same formula: 0.0 meV per atom

# Y2MgMo (PBE, relaxed)
data_Y2MgMo
_space_group_name_H-M_alt 'A m m 2'
_space_group_IT_number 38
_space_group_name_Hall 'A 2 -2'
_cell_length_a 5.0330
_cell_length_b 3.2416
_cell_length_c 11.8961
_cell_angle_alpha 90.00
_cell_angle_beta 90.00
_cell_angle_gamma 90.00
loop_
_atom_site_label
_atom_site_type_symbol
_atom_site_fract_x
_atom_site_fract_y
_atom_site_fract_z
Y1 Y 0.0000 0.0000 0.0000
Y2 Y 0.5000 0.0000 0.3198
Mg1 Mg 0.5000 0.0000 0.5957
Mo1 Mo 0.0000 0.0000 0.7270
# * formation energy from the elements: 1.19 eV per formula unit
# * total energy: -6.04 eV/atom

# Y2MgMo (PBE, relaxed)
data_Y2MgMo
_space_group_name_H-M_alt 'C 1 2/m 1'
_space_group_IT_number 12
_space_group_name_Hall '-C 2y'
_cell_length_a 10.0740
_cell_length_b 3.1630
_cell_length_c 6.1724
_cell_angle_alpha 90.00
_cell_angle_beta 98.54
_cell_angle_gamma 90.00
loop_
_atom_site_label
_atom_site_type_symbol
_atom_site_fract_x
_atom_site_fract_y
_atom_site_fract_z
Y1 Y 0.2411 0.0000 0.2320
Mg1 Mg 0.0000 0.0000 0.5000
Mo1 Mo 0.0000 0.5000 0.0000
# * formation energy from the elements: 1.68 eV per formula unit
# * total energy: -5.92 eV/atom